# 1
Computed, not measured: a relaxed PmPr4Te7 crystal at the GGA-PBE level of DFT.

Cell: 4.390 7.730 13.555 Å, 103.88 90.00 106.50°
Fractional coordinates of all 12 atoms:
Pm: 0.885 0.770 0.576
Te: 0.662 0.323 0.048
Te: 0.498 0.996 0.501
Te: 0.743 0.485 0.351
Te: 0.037 0.075 0.781
Te: 0.261 0.522 0.651
Te: 0.962 0.924 0.216
Te: 0.338 0.676 0.952
Pr: 0.300 0.600 0.190
Pr: 0.000 0.000 0.999
Pr: 0.700 0.401 0.810
Pr: 0.115 0.229 0.425

Computed properties:
As for the crystal system: monoclinic.

***

# 2
Computed, not measured: a relaxed EuErMg2 crystal at the GGA-PBE level of DFT.

Cell: 3.857 3.857 7.883 Å, 90.00 90.00 90.00°
Fractional coordinates of all 4 atoms:
Mg: 0.000 0.000 0.227
Mg: 0.000 0.000 0.773
Eu: 0.500 0.500 0.500
Er: 0.500 0.500 0.000

Computed properties:
Its formation energy from the elements is -0.0610 eV per atom. As for the crystal system: tetragonal. As for the excess energy over the best structure of this formula in the dataset: 0.000 eV/atom.

***

# 3
Computed, not measured: a relaxed TbEr4Al3 crystal at the GGA-PBE level of DFT.

Cell: 3.335 8.506 8.667 Å, 119.40 101.09 90.00°
Fractional coordinates of all 8 atoms:
Al: 0.817 0.817 0.634
Al: 0.000 0.500 0.000
Al: 0.183 0.183 0.366
Er: 0.641 0.445 0.283
Er: 0.359 0.162 0.717
Er: 0.641 0.838 0.283
Er: 0.359 0.555 0.717
Tb: 0.500 0.000 0.000

Computed properties:
Its formation energy from the elements is -0.1320 eV per atom. As for the crystal system: orthorhombic.

***

# 4
Computed, not measured: a relaxed Y2Al2Cl crystal at the GGA-PBE level of DFT.

Cell: 5.711 5.711 5.903 Å, 61.07 61.07 90.00°
Fractional coordinates of all 5 atoms:
Cl: 0.000 0.000 0.000
Al: 0.356 0.356 0.289
Al: 0.644 0.644 0.711
Y: 0.750 0.250 0.500
Y: 0.250 0.750 0.500

Computed properties:
As for the crystal system: tetragonal. As for the excess energy over the best structure of this formula in the dataset: 0.637 eV/atom.

***

# 5
Computed, not measured: a relaxed TaPSCl2 crystal at the GGA-PBE level of DFT.

Cell: 4.921 4.921 4.782 Å, 90.00 90.00 90.00°
Fractional coordinates of all 5 atoms:
S: 0.000 0.000 0.500
Cl: 0.500 0.000 0.000
Cl: 0.000 0.500 0.000
P: 0.500 0.500 0.500
Ta: 0.000 0.000 0.000

Computed properties:
As for the crystal system: tetragonal. As for the excess energy over the best structure of this formula in the dataset: 0.000 eV/atom.

***

# 6
Computed, not measured: a relaxed MgRh3C crystal at the GGA-PBE level of DFT.

Cell: 5.099 5.099 7.059 Å, 68.83 68.83 90.00°
Fractional coordinates of all 10 atoms:
Rh: 0.102 0.864 0.272
Rh: 0.341 0.341 0.319
Rh: 0.136 0.374 0.728
Rh: 0.659 0.659 0.681
Rh: 0.136 0.898 0.728
Rh: 0.626 0.864 0.272
C: 0.000 0.000 0.000
C: 0.250 0.750 0.500
Mg: 0.567 0.067 0.866
Mg: 0.933 0.433 0.134

Computed properties:
Its formation energy from the elements is 0.3476 eV per atom. As for the crystal system: tetragonal.

***

# 7
Computed, not measured: a relaxed HfTaGa3 crystal at the GGA-PBE level of DFT.

Cell: 4.872 4.872 4.872 Å, 90.00 90.00 90.00°
Fractional coordinates of all 5 atoms:
Hf: 0.500 0.500 0.500
Ga: 0.000 0.500 0.000
Ga: 0.000 0.000 0.500
Ga: 0.500 0.000 0.000
Ta: 0.000 0.000 0.000

Computed properties:
Its formation energy from the elements is 0.7276 eV per atom. As for the crystal system: cubic. As for the excess energy over the best structure of this formula in the dataset: 0.882 eV/atom.

***

# 8
Computed, not measured: a relaxed Cr2FeRh4 crystal at the GGA-PBE level of DFT.

Cell: 6.390 6.413 6.955 Å, 134.03 93.52 100.44°
Fractional coordinates of all 14 atoms:
Rh: 0.954 0.763 0.347
Rh: 0.462 0.768 0.844
Rh: 0.379 0.036 0.659
Rh: 0.829 0.141 0.848
Rh: 0.330 0.134 0.345
Rh: 0.308 0.560 0.110
Rh: 0.800 0.550 0.608
Rh: 0.875 0.029 0.158
Cr: 0.663 0.520 0.931
Cr: 0.088 0.354 0.681
Cr: 0.666 0.021 0.434
Cr: 0.573 0.345 0.182
Fe: 0.160 0.014 0.927
Fe: 0.164 0.516 0.427

Computed properties:
Its formation energy from the elements is 0.0677 eV per atom. As for the crystal system: triclinic. As for the excess energy over the best structure of this formula in the dataset: 0.000 eV/atom.

***

| no. | DOS at the Fermi energy (states/eV per atom) | calculated total energy (eV/atom) |
| --- | --- | --- |
| 1 | 0.1943 | -5.264 |
| 2 | 1.9251 | -4.568 |
| 3 | 0.9466 | -4.396 |
| 4 | 1.6064 | -4.469 |
| 5 | 0.3323 | -4.943 |
| 6 | 0.9568 | -6.227 |
| 7 | 0.6970 | -5.450 |
| 8 | 1.1401 | -8.092 |